Record 1
The following is a DFT calculation (PBE) of crystalline Pr2Sn4HgRh3 at its relaxed geometry.

Geometry as CIF:
```
data_Pr2Sn4HgRh3
_chemical_formula_sum 'Pr2 Sn4 Hg1 Rh3'
_space_group_name_H-M_alt 'P -4 m 2'
_space_group_IT_number 115
_cell_length_a 4.5733
_cell_length_b 4.5733
_cell_length_c 10.9837
_cell_angle_alpha 90.00
_cell_angle_beta 90.00
_cell_angle_gamma 90.00
loop_
_space_group_symop_operation_xyz
'x,y,z'
'y,-x,-z'
'-x,-y,z'
'-y,x,-z'
'-x,y,z'
'-y,-x,-z'
'x,-y,z'
'y,x,-z'
loop_
_atom_site_label
_atom_site_fract_x
_atom_site_fract_y
_atom_site_fract_z
_atom_site_occupancy
Pr1 0.0000 0.5000 0.2414 1
Sn1 0.0000 0.0000 0.0000 1
Sn2 0.0000 0.5000 0.6438 1
Sn3 0.5000 0.5000 0.0000 1
Hg1 0.0000 0.0000 0.5000 1
Rh1 0.0000 0.5000 0.8772 1
Rh2 0.5000 0.5000 0.5000 1
```

## Properties
D(E_F), states/eV/cell: 6.8
Total DFT energy (no corrections), eV per atom: -5.382
Crystal system: tetragonal
Magnetic moment, μB per cell: 0.000

***

Record 2
The following is a DFT calculation (PBE) of crystalline TcPbW at its relaxed geometry.

Geometry as CIF:
```
data_TcPbW
_chemical_formula_sum 'Tc4 Pb4 W4'
_space_group_name_H-M_alt 'F -4 3 m'
_space_group_IT_number 216
_space_group_name_Hall 'F -4 2 3'
_cell_length_a 6.2683
_cell_length_b 6.2683
_cell_length_c 6.2683
_cell_angle_alpha 90.00
_cell_angle_beta 90.00
_cell_angle_gamma 90.00
loop_
_atom_site_label
_atom_site_fract_x
_atom_site_fract_y
_atom_site_fract_z
_atom_site_occupancy
Tc1 0.0000 0.0000 0.0000 1
Pb1 0.2500 0.2500 0.2500 1
W1 0.2500 0.2500 0.7500 1
```

## Properties
D(E_F), states/eV/cell: 8.4
Crystal system: cubic
Magnetic moment, μB per cell: 0.000
Offset from the most stable computed form, meV/atom: 265.5

***

Record 3
The following is a DFT calculation (PBE) of crystalline TlIn6Pb4 at its relaxed geometry.

Geometry as CIF:
```
data_TlIn6Pb4
_chemical_formula_sum 'Tl1 In6 Pb4'
_space_group_name_H-M_alt 'P -6 m 2'
_space_group_IT_number 187
_space_group_name_Hall 'P -6 2'
_cell_length_a 10.6724
_cell_length_b 10.6724
_cell_length_c 3.4192
_cell_angle_alpha 90.00
_cell_angle_beta 90.00
_cell_angle_gamma 120.00
loop_
_atom_site_label
_atom_site_fract_x
_atom_site_fract_y
_atom_site_fract_z
_atom_site_occupancy
Tl1 0.0000 0.0000 0.0000 1
In1 0.1747 0.3494 0.5000 1
In2 0.5105 0.0210 0.0000 1
Pb1 0.3333 0.6667 0.0000 1
Pb2 0.3581 0.1790 0.5000 1
```

## Properties
D(E_F), states/eV/cell: 6.8
Crystal system: hexagonal
Magnetic moment, μB per cell: 0.000
Offset from the most stable computed form, meV/atom: 0.0

***

Record 4
The following is a DFT calculation (PBE) of crystalline Cs3HfS3 at its relaxed geometry.

Geometry as CIF:
```
data_Cs3HfS3
_chemical_formula_sum 'Cs24 Hf8 S24'
_space_group_name_H-M_alt 'C m c e'
_space_group_IT_number 64
_space_group_name_Hall '-C 2ac 2'
_cell_length_a 20.2690
_cell_length_b 7.6382
_cell_length_c 13.9103
_cell_angle_alpha 90.00
_cell_angle_beta 90.00
_cell_angle_gamma 90.00
loop_
_atom_site_label
_atom_site_fract_x
_atom_site_fract_y
_atom_site_fract_z
_atom_site_occupancy
Cs1 0.0000 0.1235 0.1747 1
Cs2 0.1779 0.1431 0.8671 1
Hf1 0.0810 0.0000 0.5000 1
S1 0.0000 0.1990 0.4220 1
S2 0.1480 0.1580 0.6147 1
```

## Properties
D(E_F), states/eV/cell: 18.6
Total DFT energy (no corrections), eV per atom: -4.837
Crystal system: orthorhombic
Magnetic moment, μB per cell: 0.000

***

Record 5
The following is a DFT calculation (PBE) of crystalline NaZnNiCl at its relaxed geometry.

Geometry as CIF:
```
data_NaZnNiCl
_chemical_formula_sum 'Na2 Zn2 Ni2 Cl2'
_space_group_name_H-M_alt 'I 4 m m'
_space_group_IT_number 107
_space_group_name_Hall 'I 4 -2'
_cell_length_a 3.3752
_cell_length_b 3.3752
_cell_length_c 13.1160
_cell_angle_alpha 90.00
_cell_angle_beta 90.00
_cell_angle_gamma 90.00
loop_
_atom_site_label
_atom_site_fract_x
_atom_site_fract_y
_atom_site_fract_z
_atom_site_occupancy
Na1 0.0000 0.0000 0.0000 1
Zn1 0.0000 0.0000 0.6839 1
Ni1 0.0000 0.0000 0.2333 1
Cl1 0.0000 0.0000 0.4068 1
```

## Properties
D(E_F), states/eV/cell: 3.4
Crystal system: tetragonal
Magnetic moment, μB per cell: 0.000
Offset from the most stable computed form, meV/atom: 0.0

***

Record 6
The following is a DFT calculation (PBE) of crystalline TlBNF2 at its relaxed geometry.

Geometry as CIF:
```
data_TlBNF2
_chemical_formula_sum 'Tl1 B1 N1 F2'
_space_group_name_H-M_alt 'P 4/m m m'
_space_group_IT_number 123
_space_group_name_Hall '-P 4 2'
_cell_length_a 4.7610
_cell_length_b 4.7610
_cell_length_c 2.7366
_cell_angle_alpha 90.00
_cell_angle_beta 90.00
_cell_angle_gamma 90.00
loop_
_atom_site_label
_atom_site_fract_x
_atom_site_fract_y
_atom_site_fract_z
_atom_site_occupancy
Tl1 0.0000 0.0000 0.0000 1
B1 0.5000 0.5000 0.5000 1
N1 0.5000 0.5000 0.0000 1
F1 0.0000 0.5000 0.5000 1
```

## Properties
D(E_F), states/eV/cell: 4.8
Crystal system: tetragonal
Magnetic moment, μB per cell: 0.658
Offset from the most stable computed form, meV/atom: 0.0

***

Record 7
The following is a DFT calculation (PBE) of crystalline TcAg2Br at its relaxed geometry.

Geometry as CIF:
```
data_TcAg2Br
_chemical_formula_sum 'Tc2 Ag4 Br2'
_space_group_name_H-M_alt 'C m m 2'
_space_group_IT_number 35
_cell_length_a 3.0098
_cell_length_b 5.2348
_cell_length_c 9.9585
_cell_angle_alpha 90.00
_cell_angle_beta 90.00
_cell_angle_gamma 90.00
loop_
_space_group_symop_operation_xyz
'x,y,z'
'-x,-y,z'
'-x,y,z'
'x,-y,z'
'x+1/2,y+1/2,z'
'-x+1/2,-y+1/2,z'
'-x+1/2,y+1/2,z'
'x+1/2,-y+1/2,z'
loop_
_atom_site_label
_atom_site_fract_x
_atom_site_fract_y
_atom_site_fract_z
_atom_site_occupancy
Tc1 0.0000 0.0000 0.0000 1
Ag1 0.0000 0.0000 0.5182 1
Ag2 0.0000 0.5000 0.7612 1
Br1 0.0000 0.5000 0.2037 1
```

## Properties
D(E_F), states/eV/cell: 5.8
Crystal system: orthorhombic
Magnetic moment, μB per cell: 1.874
Offset from the most stable computed form, meV/atom: 145.8

***

Record 8
The following is a DFT calculation (PBE) of crystalline ZnCr2Cl at its relaxed geometry.

Geometry as CIF:
```
data_ZnCr2Cl
_chemical_formula_sum 'Zn2 Cr4 Cl2'
_space_group_name_H-M_alt 'I m m m'
_space_group_IT_number 71
_space_group_name_Hall '-I 2 2'
_cell_length_a 3.1310
_cell_length_b 5.5706
_cell_length_c 8.5682
_cell_angle_alpha 90.00
_cell_angle_beta 90.00
_cell_angle_gamma 90.00
loop_
_atom_site_label
_atom_site_fract_x
_atom_site_fract_y
_atom_site_fract_z
_atom_site_occupancy
Zn1 0.0000 0.0000 0.0000 1
Cr1 0.0000 0.5000 0.2374 1
Cl1 0.0000 0.0000 0.5000 1
```

## Properties
D(E_F), states/eV/cell: 5.0
Crystal system: orthorhombic
Magnetic moment, μB per cell: 17.404
Offset from the most stable computed form, meV/atom: 370.8

***

Record 9
The following is a DFT calculation (PBE) of crystalline SrZn3Au2 at its relaxed geometry.

Geometry as CIF:
```
data_SrZn3Au2
_chemical_formula_sum 'Sr4 Zn12 Au8'
_space_group_name_H-M_alt 'C 1 2/m 1'
_space_group_IT_number 12
_cell_length_a 16.5498
_cell_length_b 4.2884
_cell_length_c 8.0429
_cell_angle_alpha 90.00
_cell_angle_beta 116.34
_cell_angle_gamma 90.00
loop_
_space_group_symop_operation_xyz
'x,y,z'
'-x,-y,-z'
'-x,y,-z'
'x,-y,z'
'x+1/2,y+1/2,z'
'-x+1/2,-y+1/2,-z'
'-x+1/2,y+1/2,-z'
'x+1/2,-y+1/2,z'
loop_
_atom_site_label
_atom_site_fract_x
_atom_site_fract_y
_atom_site_fract_z
_atom_site_occupancy
Sr1 0.1467 0.0000 0.0644 1
Zn1 0.0320 0.0000 0.3786 1
Zn2 0.0950 0.5000 0.6677 1
Zn3 0.1871 0.5000 0.4573 1
Au1 0.0195 0.5000 0.1847 1
Au2 0.1940 0.0000 0.6790 1
```

## Properties
D(E_F), states/eV/cell: 8.3
Total DFT energy (no corrections), eV per atom: -2.421
Crystal system: monoclinic
Magnetic moment, μB per cell: 0.000

***

Record 10
The following is a DFT calculation (PBE) of crystalline MnGaCoRuS at its relaxed geometry.

Geometry as CIF:
```
data_MnGaCoRuS
_chemical_formula_sum 'Mn2 Ga2 Co2 Ru2 S2'
_space_group_name_H-M_alt 'C 1 m 1'
_space_group_IT_number 8
_cell_length_a 8.3936
_cell_length_b 3.1611
_cell_length_c 5.1574
_cell_angle_alpha 90.00
_cell_angle_beta 90.54
_cell_angle_gamma 90.00
loop_
_space_group_symop_operation_xyz
'x,y,z'
'x,-y,z'
'x+1/2,y+1/2,z'
'x+1/2,-y+1/2,z'
loop_
_atom_site_label
_atom_site_fract_x
_atom_site_fract_y
_atom_site_fract_z
_atom_site_occupancy
Mn1 0.0000 0.0000 0.0000 1
Ga1 0.2142 0.5000 0.7537 1
Co1 0.4994 0.5000 0.5291 1
Ru1 0.2147 0.5000 0.2570 1
S1 0.4203 0.0000 0.2685 1
```

## Properties
D(E_F), states/eV/cell: 9.9
Crystal system: monoclinic
Magnetic moment, μB per cell: 5.069
Offset from the most stable computed form, meV/atom: 161.3

***

Record 11
The following is a DFT calculation (PBE) of crystalline TlAu2O4 at its relaxed geometry.

Geometry as CIF:
```
data_TlAu2O4
_chemical_formula_sum 'Tl1 Au2 O4'
_space_group_name_H-M_alt 'P -1'
_space_group_IT_number 2
_cell_length_a 4.7151
_cell_length_b 4.7608
_cell_length_c 6.7000
_cell_angle_alpha 107.20
_cell_angle_beta 107.02
_cell_angle_gamma 99.05
loop_
_space_group_symop_operation_xyz
'x,y,z'
'-x,-y,-z'
loop_
_atom_site_label
_atom_site_fract_x
_atom_site_fract_y
_atom_site_fract_z
_atom_site_occupancy
Tl1 0.0000 0.0000 0.0000 1
Au1 0.2503 0.7496 0.4998 1
O1 0.1126 0.6086 0.7237 1
O2 0.3922 0.8873 0.2762 1
```

## Properties
D(E_F), states/eV/cell: 2.2
Total DFT energy (no corrections), eV per atom: -4.277
Crystal system: triclinic
Magnetic moment, μB per cell: 0.000

***

Record 12
The following is a DFT calculation (PBE) of crystalline MgSb2Cl at its relaxed geometry.

Geometry as CIF:
```
data_MgSb2Cl
_chemical_formula_sum 'Mg2 Sb4 Cl2'
_space_group_name_H-M_alt 'C m m m'
_space_group_IT_number 65
_space_group_name_Hall '-C 2 2'
_cell_length_a 4.9266
_cell_length_b 4.9355
_cell_length_c 8.1043
_cell_angle_alpha 90.00
_cell_angle_beta 90.00
_cell_angle_gamma 90.00
loop_
_atom_site_label
_atom_site_fract_x
_atom_site_fract_y
_atom_site_fract_z
_atom_site_occupancy
Mg1 0.0000 0.0000 0.0000 1
Sb1 0.0000 0.5000 0.2210 1
Cl1 0.0000 0.0000 0.5000 1
```

## Properties
D(E_F), states/eV/cell: 4.7
Crystal system: orthorhombic
Magnetic moment, μB per cell: 0.000
Offset from the most stable computed form, meV/atom: 370.1